[1]
KTeN2F | PBE | relaxed

The value obtained for the raw total energy is -15.274 eV per cell. Its relative energy among the computed polymorphs is 1444 meV/atom. The calculation puts the formation energy from raw total energies at 722.4 kJ/mol of formula units.

The space group is P4/mmm (No. 123) and the conventional cell measures 5.210, 5.210 and 4.605 Å, with angles of 90.00, 90.00 and 90.00 degrees. Symmetry generates all atoms from K at (0.000, 0.000, 0.000), Te at (0.500, 0.500, 0.500), N at (0.000, 0.500, 0.000) and F at (0.000, 0.000, 0.500).



[2]
KTe2NF | PBE | relaxed

The value obtained for the raw total energy is -15.679 eV per cell. Its relative energy among the computed polymorphs is 0 meV/atom. The calculation puts the formation energy from raw total energies at 183.2 kJ/mol of formula units.

The space group is P4/mmm (No. 123) and the conventional cell measures 4.839, 4.839 and 5.788 Å, with angles of 90.00, 90.00 and 90.00 degrees. Symmetry generates all atoms from K at (0.000, 0.000, 0.000), Te at (0.000, 0.500, 0.500), N at (0.500, 0.500, 0.000) and F at (0.500, 0.500, 0.500).



- Look up the formation energy from raw total energies of the first one.
  722.4 kJ/mol of formula units